First-principles (PBE-GGA) data for Ta2Al2N after structural relaxation, as listed in Alexandria.

Summary:
As for the formation energy from raw total energies: 394 meV/atom. As for the space-group type: No. 127. Its crystal system is tetragonal.

Cell: 5.5259 5.5259 4.9384 Å, 90.00 90.00 90.00°
Fractional coordinates of all 10 atoms:
Ta1 0.1696 0.3304 0.0000
Ta2 0.3304 0.8304 0.0000
Ta3 0.6696 0.1696 0.0000
Ta4 0.8304 0.6696 0.0000
Al1 0.1684 0.6684 0.5000
Al2 0.3316 0.1684 0.5000
Al3 0.6684 0.8316 0.5000
Al4 0.8316 0.3316 0.5000
N1 0.0000 0.0000 0.5000
N2 0.5000 0.5000 0.5000

First-principles (PBE-GGA) data for RbSr2CaPt after structural relaxation, as listed in Alexandria.

Summary:
As for the space-group type: No. 123. For the formation energy from the elements, the calculation gives -0.367 eV per atom. Its crystal system is tetragonal.

Cell: 6.1265 6.1265 5.8673 Å, 90.00 90.00 90.00°
Fractional coordinates of all 5 atoms:
Rb1 0.0000 0.0000 0.0000
Sr1 0.0000 0.5000 0.5000
Sr2 0.5000 0.0000 0.5000
Ca1 0.5000 0.5000 0.0000
Pt1 0.5000 0.5000 0.5000

First-principles (PBE-GGA) data for TaCrCu2 after structural relaxation, as listed in Alexandria.

Summary:
As for the space-group type: No. 71. For the formation energy from the elements, the calculation gives 0.187 eV per atom. Its crystal system is orthorhombic.

Cell: 4.7662 4.7662 4.7662 Å, 134.58 134.24 66.45°
Fractional coordinates of all 4 atoms:
Ta1 0.0000 0.0000 0.0000
Cr1 0.5000 0.5000 0.0000
Cu1 0.2502 0.7502 0.5000
Cu2 0.7498 0.2498 0.5000

First-principles (PBE-GGA) data for Tb4CdAg2 after structural relaxation, as listed in Alexandria.

Summary:
As for the space-group type: No. 166. For the formation energy from the elements, the calculation gives -0.020 eV per atom. Its crystal system is trigonal.

Cell: 9.7465 9.7465 9.7465 Å, 29.87 29.87 29.87°
Fractional coordinates of all 7 atoms:
Tb1 0.1207 0.1207 0.1207
Tb2 0.2938 0.2938 0.2938
Tb3 0.7062 0.7062 0.7062
Tb4 0.8793 0.8793 0.8793
Cd1 0.5000 0.5000 0.5000
Ag1 0.4004 0.4004 0.4004
Ag2 0.5996 0.5996 0.5996

First-principles (PBE-GGA) data for FeCu2As after structural relaxation, as listed in Alexandria.

Summary:
As for the space-group type: No. 123. For the formation energy from the elements, the calculation gives 0.100 eV per atom. Its crystal system is tetragonal.

Cell: 3.6525 3.6525 3.8879 Å, 90.00 90.00 90.00°
Fractional coordinates of all 4 atoms:
Fe1 0.0000 0.0000 0.0000
Cu1 0.0000 0.5000 0.5000
Cu2 0.5000 0.0000 0.5000
As1 0.5000 0.5000 0.0000

First-principles (PBE-GGA) data for FeAsIr after structural relaxation, as listed in Alexandria.

Summary:
As for the space-group type: No. 42. For the formation energy from the elements, the calculation gives 0.324 eV per atom. Its crystal system is orthorhombic.

Cell: 6.9039 6.6228 2.8061 Å, 83.71 72.46 23.83°
Fractional coordinates of all 3 atoms:
Fe1 0.0000 0.0000 0.0000
As1 0.6632 0.6632 0.3368
Ir1 0.3378 0.3378 0.6622

First-principles (PBE-GGA) data for Be2InAs after structural relaxation, as listed in Alexandria.

Summary:
As for the space-group type: No. 216. For the formation energy from the elements, the calculation gives 0.812 eV per atom. Its crystal system is cubic.

Cell: 4.5825 4.5825 4.5825 Å, 60.00 60.00 60.00°
Fractional coordinates of all 4 atoms:
Be1 0.0000 0.0000 0.0000
Be2 0.2500 0.2500 0.2500
In1 0.7500 0.7500 0.7500
As1 0.5000 0.5000 0.5000

First-principles (PBE-GGA) data for CrFe2MoC after structural relaxation, as listed in Alexandria.

Summary:
As for the space-group type: No. 123. For the formation energy from the elements, the calculation gives 0.070 eV per atom. Its crystal system is tetragonal.

Cell: 3.7305 3.7305 3.9020 Å, 90.00 90.00 90.00°
Fractional coordinates of all 5 atoms:
Cr1 0.0000 0.0000 0.0000
Fe1 0.0000 0.5000 0.5000
Fe2 0.5000 0.0000 0.5000
Mo1 0.5000 0.5000 0.0000
C1 0.0000 0.0000 0.5000

First-principles (PBE-GGA) data for MgZn2Hg after structural relaxation, as listed in Alexandria.

Summary:
As for the space-group type: No. 8. For the formation energy from the elements, the calculation gives -0.025 eV per atom. Its crystal system is monoclinic.

Cell: 4.8556 4.8556 4.9093 Å, 101.73 101.73 42.45°
Fractional coordinates of all 4 atoms:
Mg1 0.0000 0.0000 0.0000
Zn1 0.2471 0.2471 0.7322
Zn2 0.5075 0.5075 0.5321
Hg1 0.7531 0.7531 0.2569

First-principles (PBE-GGA) data for RbCaPmO3 after structural relaxation, as listed in Alexandria.

Summary:
As for the formation energy from raw total energies: -2510 meV/atom. As for the space-group type: No. 11. Its crystal system is monoclinic.

Cell: 7.7999 3.5965 10.1144 Å, 90.00 92.86 90.00°
Fractional coordinates of all 12 atoms:
Rb1 0.1307 0.2500 0.2092
Rb2 0.8693 0.7500 0.7908
Ca1 0.1538 0.2500 0.5632
Ca2 0.8462 0.7500 0.4368
Pm1 0.3964 0.7500 0.8701
Pm2 0.6036 0.2500 0.1299
O1 0.1386 0.7500 0.4353
O2 0.2413 0.2500 0.7852
O3 0.3942 0.7500 0.0894
O4 0.6058 0.2500 0.9106
O5 0.7587 0.7500 0.2148
O6 0.8614 0.2500 0.5647

First-principles (PBE-GGA) data for PaGaBRu3 after structural relaxation, as listed in Alexandria.

Summary:
As for the space-group type: No. 63. For the formation energy from the elements, the calculation gives -0.280 eV per atom. Its crystal system is orthorhombic.

Cell: 6.5384 6.5384 5.8063 Å, 90.00 90.00 129.41°
Fractional coordinates of all 12 atoms:
Pa1 0.2377 0.7623 0.7500
Pa2 0.7623 0.2377 0.2500
Ga1 0.1323 0.8677 0.2500
Ga2 0.8677 0.1323 0.7500
B1 0.4781 0.5219 0.7500
B2 0.5219 0.4781 0.2500
Ru1 0.2438 0.2438 0.0000
Ru2 0.2438 0.2438 0.5000
Ru3 0.3348 0.6652 0.2500
Ru4 0.6652 0.3348 0.7500
Ru5 0.7562 0.7562 0.0000
Ru6 0.7562 0.7562 0.5000

First-principles (PBE-GGA) data for TeW2Cl after structural relaxation, as listed in Alexandria.

Summary:
As for the formation energy from raw total energies: 412 meV/atom. As for the space-group type: No. 35. Its crystal system is orthorhombic.

Cell: 3.0581 3.0581 9.9533 Å, 90.00 90.00 112.93°
Fractional coordinates of all 4 atoms:
Te1 0.0000 0.0000 0.0000
W1 0.0000 0.0000 0.5670
W2 0.5000 0.5000 0.7576
Cl1 0.5000 0.5000 0.3644

First-principles (PBE-GGA) data for ReN after structural relaxation, as listed in Alexandria.

Summary:
As for the formation energy from raw total energies: 708 meV/atom. As for the space-group type: No. 223. Its crystal system is cubic.

Cell: 5.6592 5.6592 5.6592 Å, 90.00 90.00 90.00°
Fractional coordinates of all 12 atoms:
Re1 0.0000 0.2500 0.5000
Re2 0.0000 0.7500 0.5000
Re3 0.2500 0.5000 0.0000
Re4 0.5000 0.0000 0.2500
Re5 0.5000 0.0000 0.7500
Re6 0.7500 0.5000 0.0000
N1 0.0000 0.5000 0.2500
N2 0.0000 0.5000 0.7500
N3 0.2500 0.0000 0.5000
N4 0.5000 0.2500 0.0000
N5 0.5000 0.7500 0.0000
N6 0.7500 0.0000 0.5000

Summary of DOS at the Fermi energy in states/eV/cell
6.362 3.765 3.590 9.756 2.287 2.485 1.731 2.395 0.649 0.000 14.108 3.333 7.692
(order as listed above)